A relaxed structure of ErNb4S8. Source: Alexandria, functional PBE.

Calculated values
E_form (uncorrected) ... -1.240 eV per atom
ρ ... 4.87 g/cm³

POSCAR file:
```
ErNb4S8
1.0
6.652 -0.007 -1.717
-3.809 5.551 -1.368
-0.216 -0.105 7.447
S Nb Er
8 4 1
direct
0.222 0.046 0.269
0.790 0.470 0.764
0.778 0.954 0.731
0.313 0.493 0.806
0.706 0.026 0.236
0.210 0.530 0.236
0.294 0.974 0.764
0.687 0.507 0.194
0.794 0.794 0.000
0.206 0.206 0.000
0.233 0.777 0.010
0.767 0.223 0.990
0.000 0.500 0.500
```